No. 1
SrTc2Mo | GGA-PBE | relaxed

Output
crystal system	orthorhombic
ΔE_f	3.3	eV per formula unit
relative energy among the computed polymorphs	325.4	meV/atom
VASP energy	-59.87	eV for the cell shown
SG	Imm2

```
data_SrTc2Mo
_chemical_formula_sum 'Sr2 Tc4 Mo2'
_cell_length_a 3.057
_cell_length_b 5.099
_cell_length_c 9.714
_cell_angle_alpha 90.00
_cell_angle_beta 90.00
_cell_angle_gamma 90.00
_symmetry_space_group_name_H-M 'P 1'
_symmetry_Int_Tables_number 1
_symmetry_space_group_name_Hall 'P 1'
loop_
_atom_site_label
_atom_site_fract_x
_atom_site_fract_y
_atom_site_fract_z
_atom_site_occupancy
Sr1 0.000 0.000 0.000 1
Sr2 0.500 0.500 0.500 1
Tc1 0.000 0.000 0.500 1
Tc2 0.000 0.500 0.784 1
Tc3 0.500 0.000 0.284 1
Tc4 0.500 0.500 0.000 1
Mo1 0.000 0.500 0.213 1
Mo2 0.500 0.000 0.713 1
```

***

No. 2
SrGePd2Au2 | GGA-PBE | relaxed

Output
crystal system	tetragonal
ΔE_f	-1.9	eV per formula unit
VASP energy	-25.09	eV for the cell shown
SG	P4/mmm

```
data_SrGePd2Au2
_chemical_formula_sum 'Sr1 Ge1 Pd2 Au2'
_cell_length_a 4.731
_cell_length_b 4.731
_cell_length_c 6.037
_cell_angle_alpha 90.00
_cell_angle_beta 90.00
_cell_angle_gamma 90.00
_symmetry_space_group_name_H-M 'P 1'
_symmetry_Int_Tables_number 1
_symmetry_space_group_name_Hall 'P 1'
loop_
_atom_site_label
_atom_site_fract_x
_atom_site_fract_y
_atom_site_fract_z
_atom_site_occupancy
Sr1 0.000 0.000 0.000 1
Ge1 0.000 0.000 0.500 1
Pd1 0.000 0.500 0.500 1
Pd2 0.500 0.000 0.500 1
Au1 0.500 0.500 0.227 1
Au2 0.500 0.500 0.773 1
```